(1)
Below is crystalline ZrCrIn2 at its relaxed geometry, with properties calculated at the GGA-PBE level.

Geometry as POSCAR:
```
ZrCrIn2
1.0
-0.412 -2.447 -3.029
2.784 0.967 -1.161
5.890 -3.826 2.289
In Zr Cr
2 1 1
Cartesian
4.403 -1.530 0.637
5.825 -3.724 2.215
1.962 -1.938 -1.233
6.300 -3.367 -0.669
```

Symmetry: Pmmm (47)
Offset from the most stable computed form in meV/atom: 54
Calculated volume in Å³ per atom: 20.7
DFT formation energy in eV/atom: 0.0743
Size of the total moment in μB/atom: 0.933

(2)
Below is crystalline Zr2CrIn at its relaxed geometry, with properties calculated at the GGA-PBE level.

Geometry as POSCAR:
```
Zr2CrIn
1.0
-1.329 1.836 4.302
-0.010 -2.831 3.953
3.322 0.678 3.485
Cr In Zr
1 1 2
Cartesian
0.992 -0.159 5.870
1.488 -0.238 8.804
0.496 -0.079 2.935
0.000 0.000 0.000
```

Symmetry: F-43m (216)
Calculated volume in Å³ per atom: 20.3
DFT formation energy in eV/atom: 0.0799
Size of the total moment in μB/atom: 0.251

(3)
Below is crystalline ZrCr2In at its relaxed geometry, with properties calculated at the GGA-PBE level.

Geometry as POSCAR:
```
ZrCr2In
1.0
-3.887 -1.075 3.560
-3.083 -4.311 -0.919
5.024 1.744 0.806
Cr Zr In
2 1 1
Cartesian
-1.382 -1.173 2.922
-6.722 -5.196 2.548
-0.690 -2.567 0.573
-3.605 -2.786 1.366
```

Symmetry: Imm2 (44)
Calculated volume in Å³ per atom: 16.9
DFT formation energy in eV/atom: 0.1843
Size of the total moment in μB/atom: 0.054

(4)
Below is crystalline Zr2Cr2In at its relaxed geometry, with properties calculated at the GGA-PBE level.

Geometry as POSCAR:
```
Zr2Cr2In
1.0
7.111 0.000 0.000
0.000 7.111 0.000
0.000 0.000 3.657
In Zr Cr
2 4 4
Cartesian
0.000 0.000 0.000
3.556 3.556 0.000
1.315 4.871 1.828
4.871 5.796 1.828
5.796 2.241 1.828
2.241 1.315 1.828
2.847 6.403 0.000
4.264 0.708 0.000
0.708 2.847 0.000
6.403 4.264 0.000
```

Symmetry: P4/mbm (127)
Calculated volume in Å³ per atom: 18.5
DFT formation energy in eV/atom: 0.0351
Size of the total moment in μB/atom: 0.000

(5)
Below is crystalline Zr2CrIn at its relaxed geometry, with properties calculated at the GGA-PBE level.

Geometry as POSCAR:
```
Zr2CrIn
1.0
5.637 0.043 -0.073
4.671 3.156 -0.073
1.923 0.597 4.595
Zr In Cr
2 1 1
Cartesian
10.314 3.200 -0.100
2.812 0.873 1.125
9.309 2.888 3.146
6.222 1.930 2.359
```

Symmetry: Cm (8)
Calculated volume in Å³ per atom: 20.3
DFT formation energy in eV/atom: 0.0667
Size of the total moment in μB/atom: 0.464

(6)
Below is crystalline ZrCrIn2 at its relaxed geometry, with properties calculated at the GGA-PBE level.

Geometry as POSCAR:
```
ZrCrIn2
1.0
0.000 3.457 3.457
3.457 0.000 3.457
3.457 3.457 0.000
In Cr Zr
2 1 1
Cartesian
1.728 1.728 1.728
5.185 5.185 5.185
0.000 0.000 0.000
3.457 3.457 3.457
```

Symmetry: Fm-3m (225)
Offset from the most stable computed form in meV/atom: 132
Calculated volume in Å³ per atom: 20.6
DFT formation energy in eV/atom: 0.1528
Size of the total moment in μB/atom: 0.850

(7)
Below is crystalline ZrCrIn2 at its relaxed geometry, with properties calculated at the GGA-PBE level.

Geometry as POSCAR:
```
ZrCrIn2
1.0
4.908 0.000 0.000
2.454 4.250 0.000
2.454 1.417 4.007
Cr In Zr
1 2 1
Cartesian
4.908 2.834 2.004
0.000 0.000 0.000
7.362 4.250 3.005
2.454 1.417 1.002
```

Symmetry: F-43m (216)
Offset from the most stable computed form in meV/atom: 268
Calculated volume in Å³ per atom: 20.9
DFT formation energy in eV/atom: 0.2878
Size of the total moment in μB/atom: 0.801

(8)
Below is crystalline ZrCr2In at its relaxed geometry, with properties calculated at the GGA-PBE level.

Geometry as POSCAR:
```
ZrCr2In
1.0
-1.797 -3.208 2.355
3.493 -2.511 -0.756
1.619 1.333 3.052
Cr Zr In
2 1 1
Cartesian
0.000 0.000 0.000
0.848 -2.860 0.799
2.556 -0.589 1.148
-0.089 -0.938 2.704
```

Symmetry: P4/mmm (123)
Calculated volume in Å³ per atom: 17.7
DFT formation energy in eV/atom: 0.2491
Size of the total moment in μB/atom: 1.233

(9)
Below is crystalline Zr2CrIn at its relaxed geometry, with properties calculated at the GGA-PBE level.

Geometry as POSCAR:
```
Zr2CrIn
1.0
3.222 0.520 0.000
-0.522 3.222 0.000
0.000 0.000 7.688
In Cr Zr
1 1 2
Cartesian
1.350 1.871 5.525
0.000 0.000 3.842
1.350 1.871 2.179
0.000 0.000 7.676
```

Symmetry: P4mm (99)
Calculated volume in Å³ per atom: 20.5
DFT formation energy in eV/atom: 0.0466
Size of the total moment in μB/atom: 0.656

(10)
Below is crystalline Zr3CrIn at its relaxed geometry, with properties calculated at the GGA-PBE level.

Geometry as POSCAR:
```
Zr3CrIn
1.0
-2.787 0.929 -3.868
3.086 -2.476 -2.818
-2.511 -4.074 0.831
Zr Cr In
3 1 1
Cartesian
-1.255 -2.037 0.415
-1.393 0.464 -1.934
1.543 -1.238 -1.409
0.000 0.000 0.000
-1.106 -2.811 -2.928
```

Symmetry: Pm-3m (221)
Offset from the most stable computed form in meV/atom: 0
Calculated volume in Å³ per atom: 22.9
DFT formation energy in eV/atom: 0.3654
Size of the total moment in μB/atom: 0.000

(11)
Below is crystalline ZrCrIn2 at its relaxed geometry, with properties calculated at the GGA-PBE level.

Geometry as POSCAR:
```
ZrCrIn2
1.0
-1.947 -0.932 -2.387
2.508 -1.257 -1.555
-1.195 -6.948 3.688
In Cr Zr
2 1 1
Cartesian
-0.621 -3.610 1.916
-1.172 -6.813 3.617
-0.616 -6.306 0.795
-0.018 -2.832 -1.049
```

Symmetry: Pmmm (47)
Offset from the most stable computed form in meV/atom: 19
Calculated volume in Å³ per atom: 20.5
DFT formation energy in eV/atom: 0.0398
Size of the total moment in μB/atom: 0.923

(12)
Below is crystalline ZrCrIn2 at its relaxed geometry, with properties calculated at the GGA-PBE level.

Geometry as POSCAR:
```
ZrCrIn2
1.0
-5.454 -1.713 7.940
-7.467 -2.792 5.673
-5.169 -4.722 6.835
Zr In Cr
1 2 1
Cartesian
-4.523 -2.307 5.112
-0.099 -0.051 0.112
-8.946 -4.563 10.112
-13.568 -6.920 15.336
```

Symmetry: R-3m (166)
Offset from the most stable computed form in meV/atom: 153
Calculated volume in Å³ per atom: 21.5
DFT formation energy in eV/atom: 0.1736
Size of the total moment in μB/atom: 0.853